#w
Compound: BaRh2I
Source: Alexandria
Functional: PBE-GGA
Structure: relaxed

Spin magnetization = 0.243 μB per atom
N(E_F) = 7.1 states/eV/cell
Mass density = 8.55 g/cm3
Symmetry = No. 225

Cell: 5.0534 5.0534 5.0534 Å, 60.00 60.00 60.00°
Each line ends with the local moment (μB).
Atoms (fractional coordinates):
I 0.0000 0.0000 0.0000  0.08
Rh 0.2500 0.2500 0.2500  0.45
Rh 0.7500 0.7500 0.7500  0.45
Ba 0.5000 0.5000 0.5000  -0.01


#x
Compound: BaRh2I
Source: Alexandria
Functional: PBE-GGA
Structure: relaxed

Spin magnetization = 0.000 μB per atom
N(E_F) = 3.3 states/eV/cell
Mass density = 6.53 g/cm3
Symmetry = No. 122

Cell: 5.2929 5.2929 9.3153 Å, 73.50 73.50 90.00°
Atoms (fractional coordinates):
I 0.5000 0.5000 0.0000
I 0.2500 0.7500 0.5000
Rh 0.4226 0.1250 0.2500
Rh 0.3274 0.6250 0.2500
Rh 0.3750 0.5774 0.7500
Rh 0.8750 0.6726 0.7500
Ba 0.0000 0.0000 0.0000
Ba 0.7500 0.2500 0.5000


#x has the most favorable energy; the next structure is 0.421 eV/atom above.


#w
Compound: BaRhI2
Source: Alexandria
Functional: PBE-GGA
Structure: relaxed

Spin magnetization = 0.250 μB per atom
N(E_F) = 6.2 states/eV/cell
Mass density = 6.44 g/cm3
Symmetry = No. 225

Cell: 5.6488 5.6488 5.6488 Å, 60.00 60.00 60.00°
Each line ends with the local moment (μB).
Atoms (fractional coordinates):
I 0.2500 0.2500 0.2500  0.03
I 0.7500 0.7500 0.7500  0.03
Rh 0.0000 0.0000 0.0000  0.89
Ba 0.5000 0.5000 0.5000  -0.01


#x
Compound: BaRhI2
Source: Alexandria
Functional: PBE-GGA
Structure: relaxed

Spin magnetization = 0.250 μB per atom
N(E_F) = 0.7 states/eV/cell
Mass density = 5.17 g/cm3
Symmetry = No. 122

Cell: 6.2517 6.2517 9.2416 Å, 70.23 70.23 90.00°
Each line ends with the local moment (μB).
Atoms (fractional coordinates):
I 0.5325 0.1250 0.2500  0.05
I 0.2175 0.6250 0.2500  0.05
I 0.3750 0.4675 0.7500  0.05
I 0.8750 0.7825 0.7500  0.04
Rh 0.5000 0.5000 0.0000  0.71
Rh 0.2500 0.7500 0.5000  0.70
Ba 0.0000 0.0000 0.0000  0.01
Ba 0.7500 0.2500 0.5000  0.01


#x has the most favorable energy; the next structure is 0.122 eV/atom above.


#w
Compound: BaRhI3
Source: Alexandria
Functional: PBE-GGA
Structure: relaxed

Spin magnetization = 0.000 μB per atom
N(E_F) = 1.3 states/eV/cell
Mass density = 6.10 g/cm3
Symmetry = No. 221

Cell: 5.5297 5.5297 5.5297 Å, 90.00 90.00 90.00°
Atoms (fractional coordinates):
I 0.0000 0.5000 0.0000
I 0.0000 0.0000 0.5000
I 0.5000 0.0000 0.0000
Rh 0.0000 0.0000 0.0000
Ba 0.5000 0.5000 0.5000


#x
Compound: BaRhI3
Source: Alexandria
Functional: PBE-GGA
Structure: relaxed

Spin magnetization = 0.400 μB per atom
N(E_F) = 9.6 states/eV/cell
Mass density = 3.43 g/cm3
Symmetry = No. 221

Cell: 6.6957 6.6957 6.6957 Å, 90.00 90.00 90.00°
Each line ends with the local moment (μB).
Atoms (fractional coordinates):
I 0.0000 0.5000 0.0000  0.05
I 0.0000 0.0000 0.5000  0.04
I 0.5000 0.0000 0.0000  0.04
Rh 0.5000 0.5000 0.5000  1.62
Ba 0.0000 0.0000 0.0000  0.00


#w has the most favorable energy; the next structure is 0.877 eV/atom above.